# 1
Computed, not measured: a geometry-optimized Pu3SiAs2Pd9 structure at the PBE level of DFT.

Energy (eV/cell): -110.1

Cell lengths 6.6544, 6.6544, 8.1732 Å; angles 90.00, 90.00, 120.00 degrees
With the nearest neighbours (Å) after each atom.
Space group P-3m1 (No. 164)
Symmetry-distinct sites (fractional):
Pu  0.0000  0.0000  0.0000 (multiplicity 1)  6 Pd 2.87
Pu  0.3333  0.6667  0.6718 (multiplicity 2)  9 Pd 3.30-3.36
Si  0.0000  0.0000  0.5000 (multiplicity 1)  6 Pd 2.35
As  0.3333  0.6667  0.1958 (multiplicity 2)  6 Pd 2.36-2.50
Pd  0.0000  0.5000  0.0000 (multiplicity 3)  2 As 2.50
Pd  0.1400  0.2799  0.2908 (multiplicity 6)  1 Si 2.35, 1 As 2.36

# 2
Computed, not measured: a geometry-optimized PuThAs2Pd2 structure at the PBE level of DFT.

Energy (eV/cell): -47.3

Cell lengths 4.3717, 4.3717, 7.7369 Å; angles 90.00, 90.00, 120.00 degrees
With the nearest neighbours (Å) after each atom.
Space group P-3m1 (No. 164)
Symmetry-distinct sites (fractional):
Pu  0.0000  0.0000  0.0000 (multiplicity 1)  6 As 3.12, 6 Pd 3.24
Th  0.0000  0.0000  0.5000 (multiplicity 1)  6 Pd 3.12, 6 As 3.24
As  0.3333  0.6667  0.7625 (multiplicity 2)  3 Pd 2.53
Pd  0.3333  0.6667  0.2623 (multiplicity 2)  3 As 2.53